Model one:
This record from the Alexandria database describes crystalline TaSnSCl2 at its relaxed geometry. The functional is PBE.

Summary:
**Magnetic moment**: 3.60 μB/f.u.

Unit cell a=5.1636 b=5.1636 c=5.2717 alpha=90.00 beta=90.00 gamma=90.00
Atoms (fractional coordinates):
S (0.0000, 0.0000, 0.5000)
Cl (0.0000, 0.5000, 0.0000)
Cl (0.5000, 0.0000, 0.0000)
Sn (0.0000, 0.0000, 0.0000)
Ta (0.5000, 0.5000, 0.5000)

---

Model two:
This record from the Alexandria database describes crystalline TaSnSCl2 at its relaxed geometry. The functional is PBE.

Summary:
**Magnetic moment**: 0.00 μB/f.u.

Unit cell a=4.9097 b=4.9097 c=4.8209 alpha=90.00 beta=90.00 gamma=90.00
Atoms (fractional coordinates):
S (0.0000, 0.0000, 0.5000)
Cl (0.0000, 0.5000, 0.0000)
Cl (0.5000, 0.0000, 0.0000)
Sn (0.5000, 0.5000, 0.5000)
Ta (0.0000, 0.0000, 0.0000)

---

Going by the energies, model two is most stable and the next is 1042 meV per atom up.

---

Model one:
This record from the Alexandria database describes crystalline SnTeSCl2 at its relaxed geometry. The functional is PBE.

Summary:
**Magnetic moment**: 2.91 μB/f.u.

Unit cell a=5.3645 b=5.3645 c=5.1143 alpha=90.00 beta=90.00 gamma=90.00
Atoms (fractional coordinates):
S (0.0000, 0.0000, 0.5000)
Te (0.5000, 0.5000, 0.5000)
Sn (0.0000, 0.0000, 0.0000)
Cl (0.0000, 0.5000, 0.0000)
Cl (0.5000, 0.0000, 0.0000)

---

Model two:
This record from the Alexandria database describes crystalline SnTeSCl2 at its relaxed geometry. The functional is PBE.

Summary:
**Magnetic moment**: 0.00 μB/f.u.

Unit cell a=5.3186 b=5.3186 c=5.2905 alpha=90.00 beta=90.00 gamma=90.00
Atoms (fractional coordinates):
S (0.0000, 0.0000, 0.5000)
Te (0.0000, 0.0000, 0.0000)
Sn (0.5000, 0.5000, 0.5000)
Cl (0.0000, 0.5000, 0.0000)
Cl (0.5000, 0.0000, 0.0000)

---

Going by the energies, model one is most stable and the next is 86 meV per atom up.

---

Model one:
This record from the Alexandria database describes crystalline TiSnSCl2 at its relaxed geometry. The functional is PBE.

Summary:
**Magnetic moment**: 0.10 μB/f.u.

Unit cell a=5.2554 b=5.2554 c=5.2320 alpha=90.00 beta=90.00 gamma=90.00
Atoms (fractional coordinates):
S (0.0000, 0.0000, 0.5000)
Cl (0.0000, 0.5000, 0.0000)
Cl (0.5000, 0.0000, 0.0000)
Sn (0.0000, 0.0000, 0.0000)
Ti (0.5000, 0.5000, 0.5000)

---

Model two:
This record from the Alexandria database describes crystalline TiSnSCl2 at its relaxed geometry. The functional is PBE.

Summary:
**Magnetic moment**: 1.52 μB/f.u.

Unit cell a=4.8710 b=4.8710 c=4.8705 alpha=90.00 beta=90.00 gamma=90.00
Atoms (fractional coordinates):
S (0.0000, 0.0000, 0.5000)
Cl (0.0000, 0.5000, 0.0000)
Cl (0.5000, 0.0000, 0.0000)
Sn (0.5000, 0.5000, 0.5000)
Ti (0.0000, 0.0000, 0.0000)

---

Going by the energies, model two is most stable and the next is 941 meV per atom up.

---

Model one:
This record from the Alexandria database describes crystalline TlSnSCl2 at its relaxed geometry. The functional is PBE.

Summary:
**Magnetic moment**: 0.00 μB/f.u.

Unit cell a=5.4434 b=5.4434 c=5.0191 alpha=90.00 beta=90.00 gamma=90.00
Atoms (fractional coordinates):
S (0.0000, 0.0000, 0.5000)
Tl (0.5000, 0.5000, 0.5000)
Sn (0.0000, 0.0000, 0.0000)
Cl (0.0000, 0.5000, 0.0000)
Cl (0.5000, 0.0000, 0.0000)

---

Model two:
This record from the Alexandria database describes crystalline TlSnSCl2 at its relaxed geometry. The functional is PBE.

Summary:
**Magnetic moment**: 0.00 μB/f.u.

Unit cell a=5.3728 b=5.3728 c=5.1708 alpha=90.00 beta=90.00 gamma=90.00
Atoms (fractional coordinates):
S (0.0000, 0.0000, 0.5000)
Tl (0.0000, 0.0000, 0.0000)
Sn (0.5000, 0.5000, 0.5000)
Cl (0.0000, 0.5000, 0.0000)
Cl (0.5000, 0.0000, 0.0000)

---

Going by the energies, model one is most stable and the next is 520 meV per atom up.

---

Model one:
This record from the Alexandria database describes crystalline TlSnS2Cl at its relaxed geometry. The functional is PBE.

Summary:
**Magnetic moment**: 0.00 μB/f.u.

Unit cell a=5.1661 b=5.1661 c=5.1789 alpha=90.00 beta=90.00 gamma=90.00
Atoms (fractional coordinates):
S (0.0000, 0.5000, 0.0000)
S (0.5000, 0.0000, 0.0000)
Tl (0.0000, 0.0000, 0.0000)
Sn (0.5000, 0.5000, 0.5000)
Cl (0.0000, 0.0000, 0.5000)

---

Model two:
This record from the Alexandria database describes crystalline TlSnS2Cl at its relaxed geometry. The functional is PBE.

Summary:
**Magnetic moment**: 0.00 μB/f.u.

Unit cell a=5.0441 b=5.0441 c=5.4128 alpha=90.00 beta=90.00 gamma=90.00
Atoms (fractional coordinates):
S (0.0000, 0.5000, 0.0000)
S (0.5000, 0.0000, 0.0000)
Tl (0.5000, 0.5000, 0.5000)
Sn (0.0000, 0.0000, 0.0000)
Cl (0.0000, 0.0000, 0.5000)

---

Going by the energies, model two is most stable and the next is 436 meV per atom up.

---

Model one:
This record from the Alexandria database describes crystalline VSnS2Cl at its relaxed geometry. The functional is PBE.

Summary:
**Magnetic moment**: 3.25 μB/f.u.

Unit cell a=5.0515 b=5.0515 c=5.0054 alpha=90.00 beta=90.00 gamma=90.00
Atoms (fractional coordinates):
S (0.0000, 0.5000, 0.0000)
S (0.5000, 0.0000, 0.0000)
Cl (0.0000, 0.0000, 0.5000)
Sn (0.0000, 0.0000, 0.0000)
V (0.5000, 0.5000, 0.5000)

---

Model two:
This record from the Alexandria database describes crystalline VSnS2Cl at its relaxed geometry. The functional is PBE.

Summary:
**Magnetic moment**: 0.00 μB/f.u.

Unit cell a=4.6852 b=4.6852 c=4.6811 alpha=90.00 beta=90.00 gamma=90.00
Atoms (fractional coordinates):
S (0.0000, 0.5000, 0.0000)
S (0.5000, 0.0000, 0.0000)
Cl (0.0000, 0.0000, 0.5000)
Sn (0.5000, 0.5000, 0.5000)
V (0.0000, 0.0000, 0.0000)

---

Going by the energies, model two is most stable and the next is 749 meV per atom up.

---

Model one:
This record from the Alexandria database describes crystalline VSnSCl2 at its relaxed geometry. The functional is PBE.

Summary:
**Magnetic moment**: 3.63 μB/f.u.

Unit cell a=5.2376 b=5.2376 c=5.2186 alpha=90.00 beta=90.00 gamma=90.00
Atoms (fractional coordinates):
S (0.0000, 0.0000, 0.5000)
Cl (0.0000, 0.5000, 0.0000)
Cl (0.5000, 0.0000, 0.0000)
Sn (0.0000, 0.0000, 0.0000)
V (0.5000, 0.5000, 0.5000)

---

Model two:
This record from the Alexandria database describes crystalline VSnSCl2 at its relaxed geometry. The functional is PBE.

Summary:
**Magnetic moment**: 2.96 μB/f.u.

Unit cell a=4.7750 b=4.7750 c=4.9168 alpha=90.00 beta=90.00 gamma=90.00
Atoms (fractional coordinates):
S (0.0000, 0.0000, 0.5000)
Cl (0.0000, 0.5000, 0.0000)
Cl (0.5000, 0.0000, 0.0000)
Sn (0.5000, 0.5000, 0.5000)
V (0.0000, 0.0000, 0.0000)

---

Going by the energies, model two is most stable and the next is 712 meV per atom up.

---

Model one:
This record from the Alexandria database describes crystalline SnWS2Cl at its relaxed geometry. The functional is PBE.

Summary:
**Magnetic moment**: 0.07 μB/f.u.

Unit cell a=4.6819 b=4.6819 c=5.0314 alpha=90.00 beta=90.00 gamma=90.00
Atoms (fractional coordinates):
S (0.0000, 0.5000, 0.0000)
S (0.5000, 0.0000, 0.0000)
Sn (0.5000, 0.5000, 0.5000)
W (0.0000, 0.0000, 0.0000)
Cl (0.0000, 0.0000, 0.5000)

---

Model two:
This record from the Alexandria database describes crystalline SnWS2Cl at its relaxed geometry. The functional is PBE.

Summary:
**Magnetic moment**: 4.19 μB/f.u.

Unit cell a=5.0518 b=5.0518 c=4.9278 alpha=90.00 beta=90.00 gamma=90.00
Atoms (fractional coordinates):
S (0.0000, 0.5000, 0.0000)
S (0.5000, 0.0000, 0.0000)
Sn (0.0000, 0.0000, 0.0000)
W (0.5000, 0.5000, 0.5000)
Cl (0.0000, 0.0000, 0.5000)

---

Going by the energies, model one is most stable and the next is 1122 meV per atom up.

---

Model one:
This record from the Alexandria database describes crystalline YSnSCl2 at its relaxed geometry. The functional is PBE.

Summary:
**Magnetic moment**: 1.08 μB/f.u.

Unit cell a=5.2441 b=5.2441 c=5.4338 alpha=90.00 beta=90.00 gamma=90.00
Atoms (fractional coordinates):
Y (0.5000, 0.5000, 0.5000)
S (0.0000, 0.0000, 0.5000)
Sn (0.0000, 0.0000, 0.0000)
Cl (0.0000, 0.5000, 0.0000)
Cl (0.5000, 0.0000, 0.0000)

---

Model two:
This record from the Alexandria database describes crystalline YSnSCl2 at its relaxed geometry. The functional is PBE.

Summary:
**Magnetic moment**: 0.99 μB/f.u.

Unit cell a=5.2459 b=5.2459 c=5.3488 alpha=90.00 beta=90.00 gamma=90.00
Atoms (fractional coordinates):
Y (0.0000, 0.0000, 0.0000)
S (0.0000, 0.0000, 0.5000)
Sn (0.5000, 0.5000, 0.5000)
Cl (0.0000, 0.5000, 0.0000)
Cl (0.5000, 0.0000, 0.0000)

---

Going by the energies, model two is most stable and the next is 721 meV per atom up.

---

Model one:
This record from the Alexandria database describes crystalline YSnS2Cl at its relaxed geometry. The functional is PBE.

Summary:
**Magnetic moment**: 0.00 μB/f.u.

Unit cell a=5.1138 b=5.1138 c=5.0397 alpha=90.00 beta=90.00 gamma=90.00
Atoms (fractional coordinates):
Y (0.5000, 0.5000, 0.5000)
S (0.0000, 0.5000, 0.0000)
S (0.5000, 0.0000, 0.0000)
Sn (0.0000, 0.0000, 0.0000)
Cl (0.0000, 0.0000, 0.5000)

---

Model two:
This record from the Alexandria database describes crystalline YSnS2Cl at its relaxed geometry. The functional is PBE.

Summary:
**Magnetic moment**: 0.00 μB/f.u.

Unit cell a=5.2944 b=5.2944 c=5.0756 alpha=90.00 beta=90.00 gamma=90.00
Atoms (fractional coordinates):
Y (0.0000, 0.0000, 0.0000)
S (0.0000, 0.5000, 0.0000)
S (0.5000, 0.0000, 0.0000)
Sn (0.5000, 0.5000, 0.5000)
Cl (0.0000, 0.0000, 0.5000)

---

Going by the energies, model two is most stable and the next is 559 meV per atom up.

---

Model one:
This record from the Alexandria database describes crystalline ZnSnSCl2 at its relaxed geometry. The functional is PBE.

Summary:
**Magnetic moment**: 0.00 μB/f.u.

Unit cell a=5.2299 b=5.2299 c=5.0757 alpha=90.00 beta=90.00 gamma=90.00
Atoms (fractional coordinates):
S (0.0000, 0.0000, 0.5000)
Zn (0.5000, 0.5000, 0.5000)
Sn (0.0000, 0.0000, 0.0000)
Cl (0.0000, 0.5000, 0.0000)
Cl (0.5000, 0.0000, 0.0000)

---

Model two:
This record from the Alexandria database describes crystalline ZnSnSCl2 at its relaxed geometry. The functional is PBE.

Summary:
**Magnetic moment**: 0.00 μB/f.u.

Unit cell a=4.7580 b=4.7580 c=4.9858 alpha=90.00 beta=90.00 gamma=90.00
Atoms (fractional coordinates):
S (0.0000, 0.0000, 0.5000)
Zn (0.0000, 0.0000, 0.0000)
Sn (0.5000, 0.5000, 0.5000)
Cl (0.0000, 0.5000, 0.0000)
Cl (0.5000, 0.0000, 0.0000)

---

Going by the energies, model two is most stable and the next is 326 meV per atom up.

---

Model one:
This record from the Alexandria database describes crystalline SrTeS2Cl at its relaxed geometry. The functional is PBE.

Summary:
**Magnetic moment**: 0.00 μB/f.u.

Unit cell a=5.2641 b=5.2641 c=5.1441 alpha=90.00 beta=90.00 gamma=90.00
Atoms (fractional coordinates):
Sr (0.5000, 0.5000, 0.5000)
S (0.0000, 0.5000, 0.0000)
S (0.5000, 0.0000, 0.0000)
Te (0.0000, 0.0000, 0.0000)
Cl (0.0000, 0.0000, 0.5000)

---

Model two:
This record from the Alexandria database describes crystalline SrTeS2Cl at its relaxed geometry. The functional is PBE.

Summary:
**Magnetic moment**: 0.12 μB/f.u.

Unit cell a=5.7029 b=5.7029 c=5.3402 alpha=90.00 beta=90.00 gamma=90.00
Atoms (fractional coordinates):
Sr (0.0000, 0.0000, 0.0000)
S (0.0000, 0.5000, 0.0000)
S (0.5000, 0.0000, 0.0000)
Te (0.5000, 0.5000, 0.5000)
Cl (0.0000, 0.0000, 0.5000)

---

Going by the energies, model one is most stable and the next is 686 meV per atom up.

---

Model one:
This record from the Alexandria database describes crystalline SrTiS2Cl at its relaxed geometry. The functional is PBE.

Summary:
**Magnetic moment**: 0.01 μB/f.u.

Unit cell a=4.8286 b=4.8286 c=4.7719 alpha=90.00 beta=90.00 gamma=90.00
Atoms (fractional coordinates):
Sr (0.5000, 0.5000, 0.5000)
S (0.0000, 0.5000, 0.0000)
S (0.5000, 0.0000, 0.0000)
Cl (0.0000, 0.0000, 0.5000)
Ti (0.0000, 0.0000, 0.0000)

---

Model two:
This record from the Alexandria database describes crystalline SrTiS2Cl at its relaxed geometry. The functional is PBE.

Summary:
**Magnetic moment**: 0.40 μB/f.u.

Unit cell a=5.4784 b=5.4784 c=5.2774 alpha=90.00 beta=90.00 gamma=90.00
Atoms (fractional coordinates):
Sr (0.0000, 0.0000, 0.0000)
S (0.0000, 0.5000, 0.0000)
S (0.5000, 0.0000, 0.0000)
Cl (0.0000, 0.0000, 0.5000)
Ti (0.5000, 0.5000, 0.5000)

---

Going by the energies, model one is most stable and the next is 1579 meV per atom up.

---

Model one:
This record from the Alexandria database describes crystalline SrTiSCl2 at its relaxed geometry. The functional is PBE.

Summary:
**Magnetic moment**: 1.93 μB/f.u.

Unit cell a=4.9127 b=4.9127 c=4.9244 alpha=90.00 beta=90.00 gamma=90.00
Atoms (fractional coordinates):
Sr (0.5000, 0.5000, 0.5000)
S (0.0000, 0.0000, 0.5000)
Cl (0.0000, 0.5000, 0.0000)
Cl (0.5000, 0.0000, 0.0000)
Ti (0.0000, 0.0000, 0.0000)

---

Model two:
This record from the Alexandria database describes crystalline SrTiSCl2 at its relaxed geometry. The functional is PBE.

Summary:
**Magnetic moment**: 1.99 μB/f.u.

Unit cell a=5.3528 b=5.3528 c=5.7748 alpha=90.00 beta=90.00 gamma=90.00
Atoms (fractional coordinates):
Sr (0.0000, 0.0000, 0.0000)
S (0.0000, 0.0000, 0.5000)
Cl (0.0000, 0.5000, 0.0000)
Cl (0.5000, 0.0000, 0.0000)
Ti (0.5000, 0.5000, 0.5000)

---

Going by the energies, model one is most stable and the next is 960 meV per atom up.